A plane-wave DFT calculation with PBE-GGA was carried out for a geometry-optimized CsPu2MnBr8 structure.

The structure in POSCAR format:
```
CsPu2MnBr8
1.0
-0.180 -6.302 3.312
4.127 -3.125 -4.546
7.390 2.418 5.025
Cs Pu Mn Br
1 2 1 8
Cartesian
3.695 1.209 2.513
7.607 -2.871 3.215
3.729 -4.138 0.576
0.000 0.000 0.000
4.559 -2.907 -1.961
10.293 -4.018 3.872
2.267 -5.569 2.688
6.778 -4.103 5.752
1.044 -2.992 -0.081
9.070 -1.441 1.103
6.563 -4.874 1.238
4.774 -2.136 2.553
```

Results
SG	P-1
uncorrected energy	-68.02	eV per cell


A plane-wave DFT calculation with PBE-GGA was carried out for a geometry-optimized CsRbMnBr4 structure.

The structure in POSCAR format:
```
CsRbMnBr4
1.0
-1.954 4.451 -6.108
-7.528 -0.695 1.902
1.468 5.951 7.987
Cs Rb Mn Br
2 2 2 8
Cartesian
-5.683 8.168 4.454
-2.330 1.539 -0.673
-6.509 5.645 0.262
-1.504 4.062 3.519
-5.620 2.223 2.530
-2.393 7.484 1.251
-4.608 8.579 0.867
-7.167 0.780 3.865
-3.405 1.128 2.915
-0.847 8.927 -0.084
-6.229 2.172 0.100
-1.784 7.535 3.681
-5.591 4.527 3.488
-2.422 5.180 0.293
```

Results
SG	P2_1/m
uncorrected energy	-54.95	eV per cell


A plane-wave DFT calculation with PBE-GGA was carried out for a geometry-optimized Cs4RbMn3Br12 structure.

The structure in POSCAR format:
```
Cs4RbMn3Br12
1.0
9.766 0.000 0.000
-3.255 9.208 0.000
-3.255 -4.604 7.974
Cs Rb Mn Br
4 1 3 12
Cartesian
1.628 2.302 3.987
-1.628 -2.302 3.987
4.883 0.000 0.000
-1.628 4.604 0.000
0.000 0.000 0.000
3.255 -2.302 3.987
3.255 4.604 0.000
-3.255 2.302 3.987
-1.628 1.151 5.981
4.679 -3.309 5.731
1.832 -1.295 2.243
4.883 3.453 1.994
4.679 6.617 0.000
1.832 2.590 0.000
4.883 0.000 3.987
-1.628 4.604 3.987
1.628 -1.151 5.981
-4.679 3.309 5.731
1.628 5.755 1.994
-1.832 1.295 2.243
```

Results
SG	Im-3m
uncorrected energy	-77.15	eV per cell


A plane-wave DFT calculation with PBE-GGA was carried out for a geometry-optimized CsRb2MnBr6 structure.

The structure in POSCAR format:
```
CsRb2MnBr6
1.0
-5.796 2.726 4.804
-6.038 -3.801 -5.129
0.264 -9.256 6.549
Cs Rb Mn Br
2 4 2 12
Cartesian
-2.898 1.363 2.402
-2.887 -6.529 0.710
-5.742 -5.842 -2.918
-6.328 -7.735 4.609
-5.828 -4.489 9.142
-5.242 -2.596 1.615
-2.766 -3.265 5.676
-3.019 -1.901 -2.564
-5.411 -2.129 -1.921
-9.317 -6.112 2.787
-6.159 -8.202 8.145
-2.253 -4.219 3.438
-6.330 -5.664 0.523
-9.227 -9.012 6.087
-5.240 -4.667 5.701
-2.343 -1.319 0.137
-8.460 -1.591 2.632
-7.663 -8.988 1.608
-3.110 -8.740 3.592
-3.907 -1.344 4.616
```

Results
SG	P2_1/c
uncorrected energy	-70.20	eV per cell


A plane-wave DFT calculation with PBE-GGA was carried out for a geometry-optimized CsRb2MnBr6 structure.

The structure in POSCAR format:
```
CsRb2MnBr6
1.0
-2.014 -3.531 -7.317
8.086 -0.141 -2.158
3.593 -7.200 -2.303
Cs Mn Br Rb
1 1 6 2
Cartesian
0.000 0.000 0.000
3.036 -1.836 -4.738
3.276 -4.154 -3.685
6.388 -6.717 -8.093
1.724 -1.042 -2.690
4.348 -2.629 -6.785
0.853 -2.568 -5.852
5.218 -1.103 -3.623
2.307 -6.283 -7.179
7.357 -4.588 -4.599
```

Results
SG	Fm-3m
uncorrected energy	-34.55	eV per cell


A plane-wave DFT calculation with PBE-GGA was carried out for a geometry-optimized Cs3RbMn2Br8 structure.

The structure in POSCAR format:
```
Cs3RbMn2Br8
1.0
8.354 0.000 0.000
-4.177 7.235 0.000
0.000 0.000 10.340
Cs Rb Mn Br
3 1 2 8
Cartesian
0.000 4.823 6.446
4.177 2.412 3.894
0.000 0.000 0.000
0.000 0.000 5.170
0.000 4.823 2.033
4.177 2.412 8.306
0.000 4.823 9.937
4.177 2.412 0.403
-1.980 5.966 3.081
6.157 1.269 7.259
0.000 2.537 3.081
4.177 4.698 7.259
1.980 5.966 3.081
2.197 1.269 7.259
```

Results
SG	P-3m1
uncorrected energy	-54.38	eV per cell


A plane-wave DFT calculation with PBE-GGA was carried out for a geometry-optimized CsRbMn2Br8 structure.

The structure in POSCAR format:
```
CsRbMn2Br8
1.0
7.127 0.000 0.000
-3.564 6.172 0.000
0.000 0.000 11.281
Cs Rb Mn Br
1 1 2 8
Cartesian
0.000 0.000 0.000
0.000 0.000 5.640
3.564 2.058 2.501
0.000 4.115 8.780
0.000 4.115 11.149
1.281 2.160 3.181
4.616 0.029 3.181
3.564 2.058 0.132
-1.052 6.143 8.100
2.282 4.012 8.100
-1.230 2.190 8.100
4.794 3.983 3.181
```

Results
SG	P-3
uncorrected energy	-45.49	eV per cell


A plane-wave DFT calculation with PBE-GGA was carried out for a geometry-optimized CsMnRh2Br structure.

The structure in POSCAR format:
```
CsMnRh2Br
1.0
-0.420 0.329 4.703
5.481 -0.752 0.542
0.668 4.678 -0.267
Cs Mn Rh Br
1 1 2 1
Cartesian
2.865 2.128 2.489
0.000 0.000 0.000
0.334 2.339 -0.134
-0.210 0.164 2.352
2.740 -0.376 0.271
```

Results
SG	P4/mmm
uncorrected energy	-23.41	eV per cell


A plane-wave DFT calculation with PBE-GGA was carried out for a geometry-optimized CsMn2SbBr8 structure.

The structure in POSCAR format:
```
CsMn2SbBr8
1.0
6.972 0.000 0.000
3.486 6.038 0.000
3.486 2.013 10.785
Cs Mn Sb Br
1 2 1 8
Cartesian
6.972 4.025 5.393
3.486 2.013 2.434
10.458 6.038 8.351
0.000 0.000 0.000
3.486 2.013 4.854
5.902 2.031 1.677
10.458 6.038 5.931
9.235 4.096 1.677
4.710 3.955 9.108
5.780 5.950 1.677
8.164 2.101 9.108
8.043 6.020 9.108
```

Results
SG	R-3
uncorrected energy	-47.25	eV per cell


A plane-wave DFT calculation with PBE-GGA was carried out for a geometry-optimized Cs2MnSbBr6 structure.

The structure in POSCAR format:
```
Cs2MnSbBr6
1.0
-0.891 -0.412 -7.899
7.265 -3.186 -0.653
0.824 -7.300 -3.723
Cs Sb Mn Br
2 1 1 6
Cartesian
1.561 -4.755 -7.949
5.638 -6.143 -4.326
0.000 0.000 0.000
3.187 -1.799 -4.276
2.198 -4.103 -4.044
5.001 -6.795 -8.231
1.600 -0.903 -2.146
4.775 -2.695 -6.406
1.156 -1.108 -6.081
5.218 -2.490 -2.472
```

Results
SG	I4/mmm
uncorrected energy	-35.51	eV per cell